A plane-wave DFT calculation with PBE was carried out for a relaxed structure of CsTlPt.

Results
The calculation puts the formation enthalpy at 0 K at 0.00 eV per formula unit. Its final energy is -3.0885 eV per atom. The volume is 34.41 A^3/atom. Its energy above the lowest structure with this stoichiometry is 0.153 eV/atom. The magnetic moment comes out at 0.00 μB/cell.

Structure (POSCAR):
```
CsTlPt
1.0
-2.2716 5.3063 -3.9216
-5.4681 -1.6206 7.1832
3.7430 4.4502 3.8533
Cs Tl Pt
4 4 4
Cartesian
-3.4719 5.5368 3.2942
-3.5310 3.0284 -0.0657
-0.5248 2.5990 3.8207
-0.4656 5.1075 7.1806
-5.0998 0.8184 7.1658
2.2390 4.6643 1.9099
1.1032 7.3174 -0.0509
-6.2356 3.4716 5.2050
-0.4310 5.0605 0.8883
-2.8302 7.9533 6.1923
-3.5657 3.0754 6.2267
-1.1664 0.1825 0.9226
```

A plane-wave DFT calculation with PBE was carried out for a relaxed structure of Cs6Tl2Pt.

Results
The calculation puts the formation enthalpy at 0 K at -0.27 eV per formula unit. Its final energy is -1.7962 eV per atom. The volume is 70.36 A^3/atom. The magnetic moment comes out at 0.00 μB/cell.

Structure (POSCAR):
```
Cs6Tl2Pt
1.0
8.6952 0.0000 4.8723
2.9825 8.1677 4.8723
0.4882 0.3415 9.3236
Cs Tl Pt
6 2 1
Cartesian
5.5722 2.1784 6.5440
5.0990 7.6128 8.4086
9.7429 4.4869 9.7858
6.3869 6.4584 13.5715
9.9000 8.2827 16.2550
10.1995 3.7842 14.6598
4.6173 3.2294 12.1498
5.9704 4.1758 9.7350
7.2440 5.0666 7.4622
```